[1]
Here is a geometry-optimized ZnCuPt2 structure from Alexandria. Energies are from GGA-PBE.

Computed properties:
- Total energy: -4.5726 eV per atom
- Formation energy: -209.6 meV/atom

abc: 2.7720 2.7720 26.1229
angles: 90.00 90.00 120.00
Space group R3m (No. 160, hexagonal axes)
Unique sites:
Zn (0.0000, 0.0000, 0.0000)
Cu (0.0000, 0.0000, 0.7447)
Pt (0.0000, 0.0000, 0.2520)
Pt (0.0000, 0.0000, 0.4925)

[2]
Here is a geometry-optimized Nb6SnSe12 structure from Alexandria. Energies are from GGA-PBE.

Computed properties:
- Formation energy (no corrections): -0.32 eV/atom
- Total energy: -5.9125 eV per atom

abc: 12.3071 12.3071 9.9375
angles: 90.00 90.00 120.00
Space group R-3m (No. 166, hexagonal axes)
Unique sites:
Nb (0.0665, 0.5333, 0.2866)
Sn (0.0000, 0.0000, 0.0000)
Se (0.0000, 0.3746, 0.5000)
Se (0.0947, 0.1895, 0.3611)

[3]
Here is a geometry-optimized Ho6Mg5Zn structure from Alexandria. Energies are from GGA-PBE.

Computed properties:
- Total energy: -3.1668 eV per atom
- Formation energy: -107.3 meV/atom

abc: 5.284 15.873 7.461
angles: 90.00 90.00 90.00
Space group Cmmm (No. 65)
Unique sites:
Ho (0.000, 0.000, 0.239)
Ho (0.000, 0.339, 0.244)
Mg (0.000, 0.169, 0.500)
Mg (0.000, 0.173, 0.000)
Mg (0.000, 0.500, 0.500)
Zn (0.000, 0.500, 0.000)

[4]
Here is a geometry-optimized LaAg2Sn structure from Alexandria. Energies are from GGA-PBE.

Computed properties:
- Total energy: -3.8821 eV per atom
- Formation energy: -223.9 meV/atom

abc: 4.813 5.765 7.446
angles: 90.00 90.00 90.00
Space group Amm2 (No. 38)
Unique sites:
La (0.000, 0.000, 0.000)
Ag (0.000, 0.000, 0.505)
Ag (0.500, 0.000, 0.699)
Sn (0.500, 0.000, 0.309)

[5]
Here is a geometry-optimized CaPu2GaO8 structure from Alexandria. Energies are from GGA-PBE.

Computed properties:
- Formation energy (no corrections): -2.52 eV/atom
- Total energy: -8.6304 eV per atom

abc: 6.724 7.016 6.863
angles: 90.00 90.00 90.00
Space group Cmmm (No. 65)
Unique sites:
Ca (0.000, 0.000, 0.000)
Pu (0.000, 0.500, 0.257)
Ga (0.000, 0.000, 0.500)
O (0.000, 0.300, 0.500)
O (0.000, 0.324, 0.000)
O (0.200, 0.000, 0.280)

[6]
Here is a geometry-optimized Cd3PbO structure from Alexandria. Energies are from GGA-PBE.

Computed properties:
- Formation energy (no corrections): 0.76 eV/atom
- Total energy: -1.5237 eV per atom

abc: 5.640 5.640 5.640
angles: 90.00 90.00 90.00
Space group Pm-3m (No. 221)
Unique sites:
Cd (0.000, 0.000, 0.500)
Pb (0.000, 0.000, 0.000)
O (0.500, 0.500, 0.500)

[7]
Here is a geometry-optimized TmZnCo structure from Alexandria. Energies are from GGA-PBE.

Computed properties:
- Total energy: -4.5893 eV per atom
- Formation energy: -305.5 meV/atom

abc: 6.672 3.905 7.830
angles: 90.00 90.00 90.00
Space group Pnma (No. 62)
Unique sites:
Tm (0.033, 0.250, 0.181)
Zn (0.142, 0.250, 0.560)
Co (0.237, 0.750, 0.371)

[8]
Here is a geometry-optimized SrIn2Au4 structure from Alexandria. Energies are from GGA-PBE.

Computed properties:
- Total energy: -3.0787 eV per atom
- Formation energy: -183.2 meV/atom

abc: 8.389 8.389 6.037
angles: 90.00 90.00 90.00
Space group I4/mmm (No. 139)
Unique sites:
Sr (0.000, 0.000, 0.000)
In (0.000, 0.500, 0.250)
Au (0.000, 0.228, 0.500)